First-principles (PBE) data for K2PuPbS4 after structural relaxation, as listed in Alexandria via LeMat-Bulk.

Unit cell a=7.3333 b=4.1729 c=7.6593 alpha=90.00 beta=107.97 gamma=90.00
With the nearest neighbours (Å) after each atom.
Sites, in units of the cell vectors:
K1 0.0000 0.0000 0.0000  6 S 3.15-3.16
K2 0.5000 0.5000 0.0000  6 S 3.33-3.40
Pu1 0.0000 0.5000 0.5000  6 S 2.67-2.77
Pb1 0.5000 0.0000 0.5000  6 S 2.96
S1 0.2127 0.0000 0.7000  2 Pu 2.77, 1 Pb 2.96
S2 0.2348 0.5000 0.2934  1 Pu 2.67, 2 Pb 2.96
S3 0.7652 0.5000 0.7066  1 Pu 2.67, 2 Pb 2.96
S4 0.7873 0.0000 0.3000  2 Pu 2.77, 1 Pb 2.96

For the total DFT energy (no corrections), the calculation gives -5.791 eV/atom. As for the uncorrected formation energy: -115.6 kJ per mole of atoms. Its space group is P2/m (10).

First-principles (PBE) data for AlAs3Au after structural relaxation, as listed in Alexandria via LeMat-Bulk.

Unit cell a=4.8105 b=4.8105 c=4.8105 alpha=90.00 beta=90.00 gamma=90.00
With the nearest neighbours (Å) after each atom.
Sites, in units of the cell vectors:
Al1 0.0000 0.0000 0.0000  6 As 2.41
As1 0.0000 0.0000 0.5000  2 Al 2.41
As2 0.0000 0.5000 0.0000  2 Al 2.41
As3 0.5000 0.0000 0.0000  2 Al 2.41
Au1 0.5000 0.5000 0.5000  12 As 3.40

The calculation puts the polymorph energy (0 for the lowest one) at 0.000 eV per atom. The energy of formation from the pure elements comes out at 0.67 eV per atom. For the total DFT energy (no corrections), the calculation gives -3.519 eV/atom. Its space group is Pm-3m (221).

First-principles (PBE) data for Zn2RuPb after structural relaxation, as listed in Alexandria via LeMat-Bulk.

Unit cell a=5.2080 b=5.2080 c=5.2080 alpha=136.06 beta=135.24 gamma=64.52
With the nearest neighbours (Å) after each atom.
Sites, in units of the cell vectors:
Zn1 0.2483 0.2483 0.0000  4 Zn 2.78, 4 Ru 2.93-2.97, 4 Pb 2.95
Zn2 0.7517 0.7517 0.0000  4 Zn 2.78, 4 Ru 2.93-2.97, 4 Pb 2.95
Ru1 0.0000 0.5000 0.5000  4 Pb 2.78, 8 Zn 2.93-2.97
Pb1 0.5000 0.0000 0.5000  4 Ru 2.78, 8 Zn 2.95

The energy of formation from the pure elements comes out at 0.22 eV per atom. For the total DFT energy (no corrections), the calculation gives -3.666 eV/atom. Its space group is Immm (71).

First-principles (PBE) data for PaGa2AuO8 after structural relaxation, as listed in Alexandria via LeMat-Bulk.

Unit cell a=5.9331 b=5.9331 c=5.9331 alpha=110.50 beta=110.50 gamma=107.44
With the nearest neighbours (Å) after each atom.
Sites, in units of the cell vectors:
Pa1 0.0000 0.0000 0.0000  4 O 2.12
Ga1 0.2500 0.7500 0.5000  4 O 1.82
Ga2 0.5000 0.5000 0.0000  4 O 1.92
Au1 0.7500 0.2500 0.5000  4 O 2.13
O1 0.0718 0.3761 0.3043  1 Ga 1.82
O2 0.0718 0.7675 0.6957  1 Ga 1.82
O3 0.1069 0.2961 0.8108  1 Ga 1.92, 1 Au 2.13
O4 0.2325 0.9282 0.3043  1 Ga 1.82
O5 0.4854 0.2961 0.1892  1 Ga 1.92, 1 Au 2.13
O6 0.6239 0.9282 0.6957  1 Ga 1.82
O7 0.7039 0.5146 0.8108  1 Ga 1.92, 1 Au 2.13
O8 0.7039 0.8931 0.1892  1 Ga 1.92, 1 Au 2.13

For the total DFT energy (no corrections), the calculation gives -6.321 eV/atom. As for the uncorrected formation energy: -139.6 kJ per mole of atoms. Its space group is I-4m2 (119).